(1)
Here is an optimized crystal structure of SiI2BrO from the Alexandria database. Energies are from PBE.

Structure (extended XYZ):
```
5
Lattice="5.9465 0.0000 0.0000 0.0000 5.9465 0.0000 0.0000 0.0000 3.4190" Properties=species:S:1:pos:R:3 pbc="T T T"
Si 0.0000 0.0000 0.0000
I 0.0000 2.9732 0.0000
I 2.9732 0.0000 0.0000
Br 2.9732 2.9732 1.7095
O 0.0000 0.0000 1.7095
```

Computed properties:
Calculated total energy (eV per cell): -16.44
Raw formation energy (eV/atom): -0.256
Excess energy over the best structure of this formula in the dataset (meV/atom): 0.0
Fermi-level density of states (states/eV per cell): 4.637
ρ (g/cm³): 5.2
Total magnetic moment (μB per formula unit): 0.00



(2)
Here is an optimized crystal structure of BaZrRu2 from the Alexandria database. Energies are from PBE.

Structure (extended XYZ):
```
8
Lattice="4.0170 0.0000 0.0000 0.0000 4.0170 0.0000 0.0000 0.0000 10.3290" Properties=species:S:1:pos:R:3 pbc="T T T"
Ba 0.0000 0.0000 0.0000
Ba 2.0085 2.0085 5.1645
Zr 0.0000 2.0085 2.5823
Zr 2.0085 0.0000 7.7468
Ru 0.0000 0.0000 5.1645
Ru 0.0000 2.0085 7.7468
Ru 2.0085 0.0000 2.5823
Ru 2.0085 2.0085 0.0000
```

Computed properties:
Calculated total energy (eV per cell): -52.24
ΔH_f (0 K) (eV/atom): 0.73
Excess energy over the best structure of this formula in the dataset (meV/atom): 596.7
Fermi-level density of states (states/eV per cell): 10.441
ρ (g/cm³): 8.6
Total magnetic moment (μB per formula unit): 0.00



(3)
Here is an optimized crystal structure of Tc2Bi2Se from the Alexandria database. Energies are from PBE.

Structure (extended XYZ):
```
10
Lattice="3.6237 0.0000 0.0000 0.0000 3.6237 0.0000 0.0000 0.0000 17.3773" Properties=species:S:1:pos:R:3 pbc="T T T"
Tc 0.0000 1.8118 4.3443
Tc 0.0000 1.8118 13.0329
Tc 1.8118 0.0000 4.3443
Tc 1.8118 0.0000 13.0329
Bi 0.0000 0.0000 1.9673
Bi 0.0000 0.0000 15.4100
Bi 1.8118 1.8118 6.7213
Bi 1.8118 1.8118 10.6559
Se 0.0000 0.0000 8.6886
Se 1.8118 1.8118 0.0000
```

Computed properties:
Calculated total energy (eV per cell): -60.65
Raw formation energy (eV/atom): 0.330
Excess energy over the best structure of this formula in the dataset (meV/atom): 0.0
Fermi-level density of states (states/eV per cell): 7.461
ρ (g/cm³): 10.1
Total magnetic moment (μB per formula unit): 0.00



(4)
Here is an optimized crystal structure of La5PrZn6 from the Alexandria database. Energies are from PBE.

Structure (extended XYZ):
```
12
Lattice="2.6504 -7.9614 0.0000 2.6504 7.9614 0.0000 0.0000 0.0000 7.5197" Properties=species:S:1:pos:R:3 pbc="T T T"
La 0.0000 0.0000 0.0000
La 2.6504 2.6713 0.0000
La 2.6504 2.6638 3.7598
La 2.6504 -2.6638 3.7598
La 2.6504 -2.6713 0.0000
Pr 0.0000 0.0000 3.7598
Zn 2.6504 5.3296 1.8905
Zn 2.6504 5.3296 5.6292
Zn 2.6504 0.0000 1.9012
Zn 2.6504 0.0000 5.6185
Zn 2.6504 -5.3296 1.8905
Zn 2.6504 -5.3296 5.6292
```

Computed properties:
Calculated total energy (eV per cell): -40.79
ΔH_f (0 K) (eV/atom): -0.31
Fermi-level density of states (states/eV per cell): 14.021
ρ (g/cm³): 6.4
Total magnetic moment (μB per formula unit): 0.00



(5)
Here is an optimized crystal structure of Sb2MoCl from the Alexandria database. Energies are from PBE.

Structure (extended XYZ):
```
12
Lattice="3.4738 0.0000 0.0000 -1.7369 3.0084 0.0000 0.0000 0.0000 25.6376" Properties=species:S:1:pos:R:3 pbc="T T T"
Sb 0.0000 0.0000 6.1773
Sb 0.0000 0.0000 19.4602
Sb 0.0000 2.0056 10.9143
Sb 0.0000 2.0056 23.2691
Sb 1.7369 1.0028 2.3685
Sb 1.7369 1.0028 14.7232
Mo 0.0000 0.0000 12.8188
Mo 0.0000 2.0056 4.2729
Mo 1.7369 1.0028 21.3646
Cl 0.0000 0.0000 0.0000
Cl 0.0000 2.0056 17.0917
Cl 1.7369 1.0028 8.5458
```

Computed properties:
Calculated total energy (eV per cell): -62.91
Raw formation energy (eV/atom): -0.012
Excess energy over the best structure of this formula in the dataset (meV/atom): 0.0
Fermi-level density of states (states/eV per cell): 3.224
ρ (g/cm³): 7.0
Total magnetic moment (μB per formula unit): 0.00



(6)
Here is an optimized crystal structure of Ho2Er12Sc from the Alexandria database. Energies are from PBE.

Structure (extended XYZ):
```
30
Lattice="6.3898 0.0000 0.0000 0.0000 6.3898 0.0000 0.0000 0.0000 24.0294" Properties=species:S:1:pos:R:3 pbc="T T T"
Ho 1.5975 4.7924 5.5764
Ho 1.5975 4.7924 18.4530
Ho 4.7924 1.5975 5.5764
Ho 4.7924 1.5975 18.4530
Er 0.0029 6.3869 9.5049
Er 6.3869 0.0029 14.5245
Er 6.3869 3.1920 9.5049
Er 0.0029 3.1978 14.5245
Er 0.5190 3.7139 1.4996
Er 0.5190 5.8708 22.5298
Er 1.5975 1.5975 3.9335
Er 1.5975 1.5975 7.0024
Er 1.5975 1.5975 17.0269
Er 1.5975 1.5975 20.0959
Er 2.6759 3.7139 22.5298
Er 2.6759 5.8708 1.4996
Er 3.1978 0.0029 9.5049
Er 3.1920 6.3869 14.5245
Er 3.1920 3.1978 9.5049
Er 3.1978 3.1920 14.5245
Er 3.7139 0.5190 22.5298
Er 3.7139 2.6759 1.4996
Er 4.7924 4.7924 3.9335
Er 4.7924 4.7924 7.0024
Er 4.7924 4.7924 17.0269
Er 4.7924 4.7924 20.0959
Er 5.8708 0.5190 1.4996
Er 5.8708 2.6759 22.5298
Sc 1.5975 4.7924 12.0147
Sc 4.7924 1.5975 12.0147
```

Computed properties:
Calculated total energy (eV per cell): -128.58
ΔH_f (0 K) (eV/atom): 0.40
Fermi-level density of states (states/eV per cell): 54.872
ρ (g/cm³): 8.1
Total magnetic moment (μB per formula unit): 0.00